Density functional theory data (meta-GGA SCAN) for YMgCr2C at its PBEsol-relaxed geometry.

a b c (Å): 4.586 4.586 5.586
angles (deg): 90.00 90.00 90.00
Fractional coordinates of all 5 atoms:
Y  0.000  0.000  0.000
Mg  0.000  0.000  0.500
Cr  0.000  0.500  0.500
Cr  0.500  0.000  0.500
C  0.500  0.500  0.000

Properties
The calculation puts the total energy at -69.0 eV per cell. The calculation puts the formation energy at 2132 meV per atom. As for the total magnetization: 7.78 μB/cell.

***

Density functional theory data (meta-GGA SCAN) for SrCrMo2C at its PBEsol-relaxed geometry.

a b c (Å): 4.687 4.687 4.563
angles (deg): 90.00 90.00 90.00
Fractional coordinates of all 5 atoms:
Sr  0.000  0.000  0.000
Cr  0.000  0.000  0.500
Mo  0.000  0.500  0.000
Mo  0.500  0.000  0.000
C  0.500  0.500  0.500

Properties
The calculation puts the total energy at -99.5 eV per cell. The calculation puts the formation energy at 4196 meV per atom. As for the total magnetization: 0.30 μB/cell.